(1)
Computed, not measured: a relaxed NaMoAs2 crystal at the PBE level of DFT.

The structure in POSCAR format:
```
NaMoAs2
1.0
-3.081 -4.847 -2.967
5.179 -1.006 -3.736
3.092 -6.557 0.458
Na Mo As
2 2 4
direct
0.500 0.500 0.000 Na
0.250 0.750 0.500 Na
0.000 0.000 0.000 Mo
0.750 0.250 0.500 Mo
0.707 0.125 0.250 As
0.043 0.625 0.250 As
0.375 0.293 0.750 As
0.875 0.957 0.750 As
```

Properties
SG = No. 122
magnetic moment = 0.201 μB/atom
raw total energy = -5.2583 eV per atom
crystal system = tetragonal

(2)
Computed, not measured: a relaxed NaMoAs2 crystal at the PBE level of DFT.

The structure in POSCAR format:
```
NaMoAs2
1.0
-0.334 1.005 -2.988
-0.531 -2.980 -0.943
-7.255 0.937 1.127
Na Mo As
1 1 2
direct
0.500 0.500 0.500 Na
0.500 0.500 0.000 Mo
0.000 0.000 0.799 As
0.000 0.000 0.201 As
```

Properties
SG = No. 123
magnetic moment = 0.000 μB/atom
raw total energy = -5.6301 eV per atom
crystal system = tetragonal

Formation enthalpy at 0 K (kJ/mol of formula units)
40 -103